[1]
# NiW

Crystalline NiW at its relaxed geometry (PBE, Alexandria).

Output
* N(E_F): 0.890 states/eV/atom
* total magnetic moment: 0.000 μB/atom
* crystal system: orthorhombic
* energy of formation from the pure elements: 21.9 kJ/mol of atoms

Unit cell a=2.6306 b=11.8873 c=5.3328 alpha=90.00 beta=90.00 gamma=90.00
Space group Imm2 (No. 44)
One atom of each set of equivalent atoms:
Ni (0.0000, 0.0000, 0.0000) x2
Ni (0.0000, 0.3538, 0.7373) x4
W (0.0000, 0.0000, 0.4967) x2
W (0.0000, 0.3305, 0.2738) x4


[2]
# LiZrTl3

Crystalline LiZrTl3 at its relaxed geometry (PBE, Alexandria).

Output
* N(E_F): 0.375 states/eV/atom
* energy relative to the lowest polymorph listed for this composition: 0 meV/atom
* total magnetic moment: 0.000 μB/atom
* crystal system: cubic
* energy of formation from the pure elements: 37.4 kJ/mol of atoms

Unit cell a=4.9491 b=4.9491 c=4.9491 alpha=90.00 beta=90.00 gamma=90.00
Space group Pm-3m (No. 221)
One atom of each set of equivalent atoms:
Li (0.0000, 0.0000, 0.0000) x1
Zr (0.5000, 0.5000, 0.5000) x1
Tl (0.0000, 0.0000, 0.5000) x3